A plane-wave DFT calculation with PBEsol was carried out for Nb2Si2Pt after structural relaxation.

a = 6.332 Å, b = 6.332 Å, c = 3.734 Å
α = 90.00°, β = 90.00°, γ = 90.00°
Sites, in units of the cell vectors:
Nb: 0.171 0.329 0.000
Nb: 0.329 0.829 0.000
Nb: 0.671 0.171 0.000
Nb: 0.829 0.671 0.000
Si: 0.130 0.630 0.500
Si: 0.370 0.130 0.500
Si: 0.630 0.870 0.500
Si: 0.870 0.370 0.500
Pt: 0.000 0.000 0.500
Pt: 0.500 0.500 0.500

Results
* calculated total energy: -8.75 eV/atom